# 1
DFT (PBE) results for a geometry-optimized Li5BrO4F2 structure.

abc: 5.858 8.922 4.926
angles: 90.00 90.00 90.00
Space group Amm2 (No. 38)
Asymmetric unit:
Li (0.000, 0.000, 0.000) (multiplicity 2)
Li (0.247, 0.188, 0.507) (multiplicity 8)
Br (0.500, 0.000, 0.030) (multiplicity 2)
O (0.252, 0.000, 0.264) (multiplicity 4)
O (0.500, 0.181, 0.814) (multiplicity 4)
F (0.000, 0.178, 0.782) (multiplicity 4)

Computed properties:
uncorrected formation energy: -1.59 eV/atom

***

# 2
DFT (PBE) results for a geometry-optimized CaCdHg2 structure.

abc: 10.440 4.534 4.826
angles: 90.00 117.40 90.00
Space group Cm (No. 8)
Asymmetric unit:
Ca (0.000, 0.000, 0.000) (multiplicity 2)
Cd (0.243, 0.000, 0.743) (multiplicity 2)
Hg (0.254, 0.500, 0.254) (multiplicity 2)
Hg (0.499, 0.000, 0.499) (multiplicity 2)

Computed properties:
calculated total energy: -1.20 eV per atom

***

# 3
DFT (PBE) results for a geometry-optimized SiTcAu structure.

abc: 2.9115 2.9115 6.3152
angles: 90.00 90.00 120.00
Space group P3m1 (No. 156)
Asymmetric unit:
Si (0.0000, 0.0000, 0.0000) (multiplicity 1)
Tc (0.6667, 0.3333, 0.2804) (multiplicity 1)
Au (0.3333, 0.6667, 0.6592) (multiplicity 1)

Computed properties:
uncorrected formation energy: 0.09 eV/atom
offset from the most stable computed form: 0.134 eV/atom

***

# 4
DFT (PBE) results for a geometry-optimized YCrAg structure.

abc: 6.812 6.812 6.812
angles: 90.00 90.00 90.00
Space group F-43m (No. 216)
Asymmetric unit:
Y (0.000, 0.000, 0.000) (multiplicity 4)
Cr (0.250, 0.250, 0.750) (multiplicity 4)
Ag (0.250, 0.250, 0.250) (multiplicity 4)

Computed properties:
offset from the most stable computed form: 0.565 eV/atom

***

Calculated values (Å³ per cell) of V for the records, taken in order: 257 203 46 316.